[1]
# K2WBr | the Alexandria database | SCAN | PBEsol geometry
data_K2WBr
_chemical_formula_sum 'K2 W1 Br1'
_cell_length_a 5.9460
_cell_length_b 5.9460
_cell_length_c 3.7016
_cell_angle_alpha 90.00
_cell_angle_beta 90.00
_cell_angle_gamma 90.00
_space_group_name_H-M_alt 'P 4/m m m'
_space_group_IT_number 123
_space_group_name_Hall '-P 4 2'
loop_
_atom_site_label
_atom_site_type_symbol
_atom_site_fract_x
_atom_site_fract_y
_atom_site_fract_z
K1 K 0.0000 0.5000 0.0000
W1 W 0.0000 0.0000 0.5000
Br1 Br 0.5000 0.5000 0.5000
# E_form (uncorrected)   0.7401 eV/atom
# Polymorph energy (0 for the lowest one)   0.0176 eV per atom



[2]
# KWBr3 | the Alexandria database | SCAN | PBEsol geometry
data_KWBr3
_chemical_formula_sum 'K1 W1 Br3'
_cell_length_a 5.6370
_cell_length_b 5.6370
_cell_length_c 5.6370
_cell_angle_alpha 90.00
_cell_angle_beta 90.00
_cell_angle_gamma 90.00
_space_group_name_H-M_alt 'P m -3 m'
_space_group_IT_number 221
_space_group_name_Hall '-P 4 2 3'
loop_
_atom_site_label
_atom_site_type_symbol
_atom_site_fract_x
_atom_site_fract_y
_atom_site_fract_z
K1 K 0.0000 0.0000 0.0000
W1 W 0.5000 0.5000 0.5000
Br1 Br 0.0000 0.0000 0.5000
# E_form (uncorrected)   1.0107 eV/atom



[3]
# K2WBr | the Alexandria database | SCAN | PBEsol geometry
data_K2WBr
_chemical_formula_sum 'K4 W2 Br2'
_cell_length_a 3.6193
_cell_length_b 3.6878
_cell_length_c 19.8663
_cell_angle_alpha 90.00
_cell_angle_beta 90.00
_cell_angle_gamma 90.00
_space_group_name_H-M_alt 'I m m 2'
_space_group_IT_number 44
loop_
_space_group_symop_operation_xyz
'x,y,z'
'-x,-y,z'
'-x,y,z'
'x,-y,z'
'x+1/2,y+1/2,z+1/2'
'-x+1/2,-y+1/2,z+1/2'
'-x+1/2,y+1/2,z+1/2'
'x+1/2,-y+1/2,z+1/2'
loop_
_atom_site_label
_atom_site_type_symbol
_atom_site_fract_x
_atom_site_fract_y
_atom_site_fract_z
K1 K 0.0000 0.0000 0.0000
K2 K 0.0000 0.5000 0.2199
W1 W 0.0000 0.5000 0.8469
Br1 Br 0.0000 0.0000 0.5902
# E_form (uncorrected)   0.7225 eV/atom
# Polymorph energy (0 for the lowest one)   0.0000 eV per atom



[4]
# K2WBr | the Alexandria database | SCAN | PBEsol geometry
data_K2WBr
_chemical_formula_sum 'K8 W4 Br4'
_cell_length_a 8.2085
_cell_length_b 8.2085
_cell_length_c 8.2085
_cell_angle_alpha 90.00
_cell_angle_beta 90.00
_cell_angle_gamma 90.00
_space_group_name_H-M_alt 'F m -3 m'
_space_group_IT_number 225
_space_group_name_Hall '-F 4 2 3'
loop_
_atom_site_label
_atom_site_type_symbol
_atom_site_fract_x
_atom_site_fract_y
_atom_site_fract_z
K1 K 0.2500 0.2500 0.2500
W1 W 0.0000 0.0000 0.0000
Br1 Br 0.0000 0.0000 0.5000
# E_form (uncorrected)   0.8443 eV/atom
# Polymorph energy (0 for the lowest one)   0.1218 eV per atom



[5]
# KWBr | the Alexandria database | SCAN | PBEsol geometry
data_KWBr
_chemical_formula_sum 'K4 W4 Br4'
_cell_length_a 3.2557
_cell_length_b 5.2199
_cell_length_c 15.3274
_cell_angle_alpha 90.00
_cell_angle_beta 90.00
_cell_angle_gamma 90.00
_space_group_name_H-M_alt 'F m m 2'
_space_group_IT_number 42
_space_group_name_Hall 'F 2 -2'
loop_
_atom_site_label
_atom_site_type_symbol
_atom_site_fract_x
_atom_site_fract_y
_atom_site_fract_z
K1 K 0.0000 0.0000 0.0000
W1 W 0.0000 0.0000 0.3078
Br1 Br 0.0000 0.0000 0.6720
# E_form (uncorrected)   1.0534 eV/atom
# Polymorph energy (0 for the lowest one)   0.0000 eV per atom



[6]
# K2YBr | the Alexandria database | SCAN | PBEsol geometry
data_K2YBr
_chemical_formula_sum 'K4 Y2 Br2'
_cell_length_a 3.9224
_cell_length_b 6.6257
_cell_length_c 12.1903
_cell_angle_alpha 90.00
_cell_angle_beta 90.00
_cell_angle_gamma 90.00
_space_group_name_H-M_alt 'C m m 2'
_space_group_IT_number 35
loop_
_space_group_symop_operation_xyz
'x,y,z'
'-x,-y,z'
'-x,y,z'
'x,-y,z'
'x+1/2,y+1/2,z'
'-x+1/2,-y+1/2,z'
'-x+1/2,y+1/2,z'
'x+1/2,-y+1/2,z'
loop_
_atom_site_label
_atom_site_type_symbol
_atom_site_fract_x
_atom_site_fract_y
_atom_site_fract_z
K1 K 0.0000 0.0000 0.0000
K2 K 0.0000 0.5000 0.3288
Y1 Y 0.0000 0.5000 0.7193
Br1 Br 0.0000 0.0000 0.5391
# E_form (uncorrected)   -0.4835 eV/atom
# Polymorph energy (0 for the lowest one)   0.0000 eV per atom